No. 1
The following is a PBE calculation of a relaxed CaHoCuPb crystal, from the Alexandria database.

abc: 7.4076 7.4076 7.4076
angles: 90.00 90.00 90.00
With the nearest neighbours (Å) after each atom.
Space group F-43m (No. 216)
Unique sites:
Ca1 0.0000 0.0000 0.0000 [4 per cell]  4 Pb 3.21, 4 Cu 3.21
Ho1 0.0000 0.0000 0.5000 [4 per cell]  4 Pb 3.21, 4 Cu 3.21
Cu1 0.2500 0.2500 0.7500 [4 per cell]  4 Ho 3.21, 4 Ca 3.21
Pb1 0.2500 0.2500 0.2500 [4 per cell]  4 Ho 3.21, 4 Ca 3.21

ΔH_f (0 K): -30 kJ per mole of atoms
D(E_F): 1.8 states/eV/f.u.
size of the total moment: 0.000 μB per formula unit
energy: -62.6 eV per cell

---

No. 2
The following is a PBE calculation of a relaxed LiLuAlRh crystal, from the Alexandria database.

abc: 6.4543 6.4543 6.4543
angles: 90.00 90.00 90.00
With the nearest neighbours (Å) after each atom.
Space group F-43m (No. 216)
Unique sites:
Li1 0.0000 0.0000 0.0000 [4 per cell]  4 Al 2.79, 4 Lu 2.79
Lu1 0.2500 0.2500 0.2500 [4 per cell]  4 Li 2.79, 4 Rh 2.79
Al1 0.2500 0.2500 0.7500 [4 per cell]  4 Li 2.79, 4 Rh 2.79
Rh1 0.0000 0.0000 0.5000 [4 per cell]  4 Al 2.79, 4 Lu 2.79

ΔH_f (0 K): -61 kJ per mole of atoms
D(E_F): 3.2 states/eV/f.u.
size of the total moment: 0.000 μB per formula unit
energy: -80.2 eV per cell

---

No. 3
The following is a PBE calculation of a relaxed Pm3PdRh crystal, from the Alexandria database.

abc: 8.1284 6.7226 10.3702
angles: 90.00 113.28 90.00
With the nearest neighbours (Å) after each atom.
Space group P2_1/c (No. 14)
Unique sites:
Pm1 0.1476 0.0019 0.3102 [4 per cell]  2 Rh 3.01-3.03, 2 Pd 3.07-3.11
Pm2 0.2457 0.5009 0.5058 [4 per cell]  2 Rh 2.79, 2 Pd 2.88
Pm3 0.3364 0.0011 0.6896 [4 per cell]  2 Rh 2.98-3.03, 2 Pd 3.09-3.11
Pd1 0.4985 0.2058 0.4978 [4 per cell]  1 Pd 2.77, 4 Pm 2.88-3.09
Rh1 0.0026 0.2071 0.5038 [4 per cell]  1 Rh 2.79, 6 Pm 2.79-3.03

ΔH_f (0 K): -58 kJ per mole of atoms
D(E_F): 4.2 states/eV/f.u.
size of the total moment: 0.000 μB per formula unit
distance to the lowest polymorph of the same formula: 47 meV per atom
energy: -119.2 eV per cell